DFT (GGA-PBE) results for a relaxed Nd8Tm3Tl crystal.

symmetry = I-42m (121)
uncorrected energy = -4.036 eV/atom
N(E_F) = 16.7 states/eV/f.u.
formation energy from the elements = 0.4581 eV per atom

abc: 8.472 8.472 8.472
angles: 93.18 118.18 118.18
Fractional positions:
Nd1 0.000 0.720 0.233
Nd2 0.486 0.767 0.767
Nd3 0.000 0.874 0.617
Nd4 0.743 0.126 0.126
Nd5 0.000 0.233 0.720
Nd6 0.514 0.280 0.280
Nd7 0.257 0.383 0.383
Nd8 0.000 0.617 0.874
Tm1 0.500 0.750 0.250
Tm2 0.500 0.250 0.750
Tm3 0.000 0.500 0.500
Tl1 0.000 0.000 0.000

=====

DFT (GGA-PBE) results for a relaxed Tb3HoTm2S6 crystal.

symmetry = C2/m (12)
ΔE_f (raw) = -1.982 eV/atom
uncorrected energy = -6.330 eV/atom
N(E_F) = 5.0 states/eV/f.u.

abc: 6.737 6.737 6.753
angles: 99.53 99.53 120.21
Fractional positions:
S1 0.745 0.745 0.243
S2 0.583 0.919 0.757
S3 0.417 0.081 0.243
S4 0.919 0.583 0.757
S5 0.255 0.255 0.757
S6 0.081 0.417 0.243
Tm1 0.666 0.334 0.000
Tm2 0.334 0.666 0.000
Tb1 0.165 0.835 0.500
Tb2 0.835 0.165 0.500
Tb3 0.500 0.500 0.500
Ho1 0.000 0.000 0.000

=====

DFT (GGA-PBE) results for a relaxed Tb3Sm6Cd crystal.

symmetry = P2_1/m (11)
uncorrected energy = -4.332 eV/atom
N(E_F) = 14.2 states/eV/f.u.
formation energy from the elements = -0.0197 eV per atom
distance to the lowest polymorph of the same formula = 0 meV/atom

abc: 5.084 11.112 11.332
angles: 91.52 90.00 90.00
Fractional positions:
Tb1 0.750 0.247 0.991
Tb2 0.250 0.348 0.792
Tb3 0.750 0.449 0.599
Tb4 0.750 0.652 0.208
Tb5 0.250 0.753 0.009
Tb6 0.250 0.551 0.401
Sm1 0.250 0.860 0.315
Sm2 0.750 0.551 0.898
Sm3 0.750 0.954 0.105
Sm4 0.750 0.140 0.685
Sm5 0.250 0.152 0.190
Sm6 0.250 0.237 0.494
Sm7 0.750 0.763 0.506
Sm8 0.750 0.848 0.810
Sm9 0.750 0.346 0.298
Sm10 0.250 0.449 0.102
Sm11 0.250 0.654 0.702
Sm12 0.250 0.046 0.895
Cd1 0.250 0.949 0.605
Cd2 0.750 0.051 0.395